Material: RbBa2Ni2F9
Method: DFT, PBE+U
State: optimized geometry

Space group = R3m
Total DFT energy (no corrections) = -68.63 eV for the cell shown
Magnetic moment = 4.0 Bohr magnetons per cell

a b c (Å): 7.854 7.854 7.854
angles (deg): 43.89 43.89 43.89
Positions (direct):
Rb1 0.000 0.000 0.000
Ba1 0.214 0.214 0.214
Ba2 0.420 0.420 0.420
Ni1 0.607 0.607 0.607
Ni2 0.824 0.824 0.824
F1 0.221 0.707 0.707
F2 0.441 0.945 0.945
F3 0.481 0.481 0.993
F4 0.481 0.993 0.481
F5 0.707 0.221 0.707
F6 0.707 0.707 0.221
F7 0.945 0.441 0.945
F8 0.945 0.945 0.441
F9 0.993 0.481 0.481